1.
Below is a relaxed structure of Sr2CdCo, with properties calculated at the GGA-PBEsol level.

Unit cell a=3.6219 b=3.6219 c=8.6408 alpha=90.00 beta=90.00 gamma=90.00
Space group P4mm (No. 99)
Unique sites:
1 Sr 0.0000 0.0000 0.0000 x1
2 Sr 0.5000 0.5000 0.4031 x1
3 Cd 0.0000 0.0000 0.6502 x1
4 Co 0.5000 0.5000 0.7565 x1

DFT formation energy   249 meV per atom
ρ   5.08 g/cm3
Total moment   1.12 μB per cell



2.
Below is a relaxed structure of SrCd2Co, with properties calculated at the GGA-PBEsol level.

Unit cell a=3.4813 b=3.4813 c=7.2477 alpha=90.00 beta=90.00 gamma=90.00
Space group P4mm (No. 99)
Unique sites:
1 Sr 0.0000 0.0000 0.0000 x1
2 Cd 0.0000 0.0000 0.5711 x1
3 Cd 0.5000 0.5000 0.3338 x1
4 Co 0.5000 0.5000 0.7099 x1

DFT formation energy   211 meV per atom
ρ   7.02 g/cm3
Total moment   0.91 μB per cell